Entry 1:
Material: AsPH3
Method: DFT, PBE-GGA
State: relaxed

Results
E above lowest polymorph   0 meV/atom
Crystal system   triclinic
Space-group type   P1

a b c (Å): 5.454 5.757 5.783
angles (deg): 92.16 91.67 117.32
Sites, in units of the cell vectors:
As (0.000, 0.000, 0.000)
As (0.026, 0.039, 0.426)
P (0.148, 0.689, 0.979)
P (0.479, 0.348, 0.455)
H (0.046, 0.492, 0.144)
H (0.080, 0.535, 0.765)
H (0.440, 0.768, 0.003)
H (0.563, 0.549, 0.293)
H (0.567, 0.499, 0.670)
H (0.693, 0.269, 0.432)

---

Entry 2:
Material: AsPH3
Method: DFT, PBE-GGA
State: relaxed

Results
E above lowest polymorph   831 meV/atom
Crystal system   cubic
Space-group type   Pm-3m
D(E_F)   2.40 states/eV/cell

a b c (Å): 3.650 3.650 3.650
angles (deg): 90.00 90.00 90.00
Sites, in units of the cell vectors:
As (0.000, 0.000, 0.000)
P (0.500, 0.500, 0.500)
H (0.000, 0.000, 0.500)
H (0.000, 0.500, 0.000)
H (0.500, 0.000, 0.000)

---

Entry 3:
Material: AsP2H4
Method: DFT, PBE-GGA
State: relaxed

Results
Crystal system   triclinic
Raw total energy   -4.0737 eV/atom
Space-group type   P1
D(E_F)   0.00 states/eV/cell

a b c (Å): 5.366 6.830 6.852
angles (deg): 80.96 70.84 84.11
Sites, in units of the cell vectors:
As (0.000, 0.000, 0.000)
As (0.340, 0.520, 0.675)
P (0.173, 0.010, 0.270)
P (0.334, 0.167, 0.761)
P (0.520, 0.589, 0.926)
P (0.763, 0.491, 0.419)
H (0.190, 0.800, 0.333)
H (0.293, 0.531, 0.099)
H (0.352, 0.112, 0.564)
H (0.590, 0.105, 0.777)
H (0.662, 0.400, 0.945)
H (0.672, 0.368, 0.307)
H (0.714, 0.668, 0.290)
H (0.924, 0.033, 0.429)

---

Entry 4:
Material: Pa2AsPH2
Method: DFT, PBE-GGA
State: relaxed

Results
Crystal system   trigonal
Raw total energy   -6.8847 eV/atom
Space-group type   P-3m1
D(E_F)   7.05 states/eV/cell

a b c (Å): 3.854 3.854 7.441
angles (deg): 90.00 90.00 120.00
Sites, in units of the cell vectors:
Pa (0.333, 0.667, 0.239)
Pa (0.667, 0.333, 0.761)
As (0.000, 0.000, 0.500)
P (0.000, 0.000, 0.000)
H (0.333, 0.667, 0.750)
H (0.667, 0.333, 0.250)

---

Entry 5:
Material: Pr4AsP2H
Method: DFT, PBE-GGA
State: relaxed

Results
Crystal system   orthorhombic
Raw total energy   -5.9965 eV/atom
Space-group type   Cmcm
D(E_F)   7.26 states/eV/cell

a b c (Å): 7.125 7.125 14.098
angles (deg): 90.00 90.00 146.00
Sites, in units of the cell vectors:
Pr (0.000, 0.000, 0.000)
Pr (0.000, 0.000, 0.500)
Pr (0.271, 0.729, 0.620)
Pr (0.271, 0.729, 0.880)
Pr (0.446, 0.554, 0.250)
Pr (0.554, 0.446, 0.750)
Pr (0.729, 0.271, 0.120)
Pr (0.729, 0.271, 0.380)
As (0.107, 0.893, 0.250)
As (0.893, 0.107, 0.750)
P (0.364, 0.636, 0.063)
P (0.364, 0.636, 0.437)
P (0.636, 0.364, 0.563)
P (0.636, 0.364, 0.937)
H (0.154, 0.846, 0.750)
H (0.846, 0.154, 0.250)

---

Entry 6:
Material: Pu4AsP2H
Method: DFT, PBE-GGA
State: relaxed

Results
Crystal system   orthorhombic
Raw total energy   -10.3360 eV/atom
Space-group type   Cmcm
D(E_F)   74.78 states/eV/cell

a b c (Å): 6.901 6.901 13.318
angles (deg): 90.00 90.00 146.36
Sites, in units of the cell vectors:
Pu (0.000, 0.000, 0.000)
Pu (0.000, 0.000, 0.500)
Pu (0.271, 0.729, 0.627)
Pu (0.271, 0.729, 0.873)
Pu (0.443, 0.557, 0.250)
Pu (0.557, 0.443, 0.750)
Pu (0.729, 0.271, 0.127)
Pu (0.729, 0.271, 0.373)
As (0.106, 0.894, 0.250)
As (0.894, 0.106, 0.750)
P (0.361, 0.639, 0.057)
P (0.361, 0.639, 0.443)
P (0.639, 0.361, 0.557)
P (0.639, 0.361, 0.943)
H (0.147, 0.853, 0.750)
H (0.853, 0.147, 0.250)